Record 1
The following is a PBE calculation of crystalline LiUGePt at its relaxed geometry, from the Alexandria database.

Values from the calculation:
calculated total energy	-6.3295	eV/atom

a b c (Å): 6.6984 6.6984 6.6984
angles (deg): 90.00 90.00 90.00
Last column: nearest neighbours and their distance in Å.
Space group F-43m (No. 216)
Inequivalent atoms, fractional coordinates:
Li1 0.0000 0.0000 0.0000 (multiplicity 4)  4 Pt 2.90, 4 Ge 2.90
U1 0.0000 0.0000 0.5000 (multiplicity 4)  4 Ge 2.90, 4 Pt 2.90
Ge1 0.2500 0.2500 0.7500 (multiplicity 4)  4 Li 2.90, 4 U 2.90
Pt1 0.2500 0.2500 0.2500 (multiplicity 4)  4 Li 2.90, 4 U 2.90

***

Record 2
The following is a PBE calculation of crystalline YTm2In at its relaxed geometry, from the Alexandria database.

Values from the calculation:
distance to the lowest polymorph of the same formula	0.0623	eV per atom

a b c (Å): 4.5913 4.7485 11.0817
angles (deg): 90.00 101.91 90.00
Last column: nearest neighbours and their distance in Å.
Space group P2_1/m (No. 11)
Inequivalent atoms, fractional coordinates:
Y1 0.1916 0.2500 0.3850 (multiplicity 2)  5 In 3.14-3.36
Tm1 0.0569 0.7500 0.1152 (multiplicity 2)  2 In 3.24, 8 Tm 3.31-3.53
Tm2 0.4349 0.7500 0.8687 (multiplicity 2)  2 In 3.18, 6 Tm 3.31-3.53
In1 0.3380 0.2500 0.6742 (multiplicity 2)  5 Y 3.14-3.36, 4 Tm 3.18-3.24

***

Record 3
The following is a PBE calculation of crystalline H2Pd2Au at its relaxed geometry, from the Alexandria database.

Values from the calculation:
distance to the lowest polymorph of the same formula	0.0489	eV per atom

a b c (Å): 5.1978 8.5882 9.8375
angles (deg): 90.00 90.00 90.00
Last column: nearest neighbours and their distance in Å.
Space group Fddd (No. 70, origin choice 2)
Inequivalent atoms, fractional coordinates:
H1 0.1250 0.1250 0.2572 (multiplicity 16)  4 Pd 1.88-1.93
Pd1 0.1250 0.2914 0.1250 (multiplicity 16)  4 H 1.88-1.93
Au1 0.1250 0.1250 0.6250 (multiplicity 8)  8 H 2.76-2.91, 10 Pd 2.87-2.97

***

Record 4
The following is a PBE calculation of crystalline Ce2ThBi3 at its relaxed geometry, from the Alexandria database.

Values from the calculation:
calculated total energy	-5.8864	eV/atom

a b c (Å): 4.5989 6.5096 13.8211
angles (deg): 90.00 90.00 90.00
Last column: nearest neighbours and their distance in Å.
Space group Immm (No. 71)
Inequivalent atoms, fractional coordinates:
Ce1 0.0000 0.0000 0.1669 (multiplicity 4)  6 Bi 3.25-3.26
Th1 0.0000 0.0000 0.5000 (multiplicity 2)  6 Bi 3.25-3.26
Bi1 0.0000 0.5000 0.1668 (multiplicity 4)  4 Ce 3.25, 2 Th 3.26
Bi2 0.0000 0.5000 0.5000 (multiplicity 2)  2 Th 3.25, 4 Ce 3.26

***

Record 5
The following is a PBE calculation of crystalline CaZnAs2 at its relaxed geometry, from the Alexandria database.

Values from the calculation:
calculated total energy	-3.5480	eV/atom

a b c (Å): 4.4658 4.4658 4.0582
angles (deg): 90.00 90.00 90.00
Last column: nearest neighbours and their distance in Å.
Space group P4/mmm (No. 123)
Inequivalent atoms, fractional coordinates:
Ca1 0.0000 0.0000 0.0000 (multiplicity 1)  8 As 3.02, 4 Zn 3.16
Zn1 0.5000 0.5000 0.0000 (multiplicity 1)  8 As 3.02, 4 Ca 3.16
As1 0.0000 0.5000 0.5000 (multiplicity 2)  4 Zn 3.02, 4 Ca 3.02, 4 As 3.16

***

Record 6
The following is a PBE calculation of crystalline TbPuIrPd at its relaxed geometry, from the Alexandria database.

Values from the calculation:
distance to the lowest polymorph of the same formula	0.0049	eV per atom

a b c (Å): 3.4539 3.4539 7.0921
angles (deg): 90.00 90.00 90.00
Last column: nearest neighbours and their distance in Å.
Space group P4mm (No. 99)
Inequivalent atoms, fractional coordinates:
Tb1 0.0000 0.0000 0.0000 (multiplicity 1)  4 Ir 2.99, 4 Pd 3.00
Pu1 0.0000 0.0000 0.5228 (multiplicity 1)  4 Ir 2.95, 4 Pd 3.13
Ir1 0.5000 0.5000 0.7557 (multiplicity 1)  4 Pu 2.95, 4 Tb 2.99
Pd1 0.5000 0.5000 0.2469 (multiplicity 1)  4 Tb 3.00, 4 Pu 3.13

***

Record 7
The following is a PBE calculation of crystalline Dy2TiGa3Pt4 at its relaxed geometry, from the Alexandria database.

Values from the calculation:
calculated total energy	-5.9927	eV/atom

a b c (Å): 4.0795 4.0795 11.2453
angles (deg): 90.00 90.00 90.00
Last column: nearest neighbours and their distance in Å.
Space group P-4m2 (No. 115)
Inequivalent atoms, fractional coordinates:
Dy1 0.0000 0.5000 0.2423 (multiplicity 2)  4 Ga 3.13, 8 Pt 3.15-3.40
Ti1 0.0000 0.0000 0.5000 (multiplicity 1)  4 Pt 2.61, 4 Ga 2.88
Ga1 0.0000 0.5000 0.8653 (multiplicity 2)  5 Pt 2.48-2.54
Ga2 0.5000 0.5000 0.5000 (multiplicity 1)  4 Pt 2.61, 4 Ti 2.88
Pt1 0.0000 0.0000 0.0000 (multiplicity 1)  4 Ga 2.54
Pt2 0.0000 0.5000 0.6446 (multiplicity 2)  3 Ga 2.48-2.61, 2 Ti 2.61
Pt3 0.5000 0.5000 0.0000 (multiplicity 1)  4 Ga 2.54

***

Record 8
The following is a PBE calculation of crystalline Tl2AsOs at its relaxed geometry, from the Alexandria database.

Values from the calculation:
distance to the lowest polymorph of the same formula	0.6783	eV per atom

a b c (Å): 3.5330 5.1340 9.1743
angles (deg): 90.00 90.00 90.00
Last column: nearest neighbours and their distance in Å.
Space group Immm (No. 71)
Inequivalent atoms, fractional coordinates:
Tl1 0.0000 0.0000 0.2416 (multiplicity 4)  2 Os 2.83, 2 As 2.96, 4 Tl 3.12
As1 0.0000 0.5000 0.0000 (multiplicity 2)  4 Tl 2.96, 4 Os 3.12
Os1 0.0000 0.5000 0.5000 (multiplicity 2)  4 Tl 2.83, 4 As 3.12

***

Calculated magnetization (μB/atom), listed in the same order as above: 0.498, 0.000, 0.000, 0.337, 0.000, 1.293, 0.000, 0.000